# 1
## NaTi3In (PBE)

Data for crystalline NaTi3In at its relaxed geometry.

Output
Energy above the most stable polymorph in this dataset   0 meV/atom
Energy of formation from the pure elements   5.8 eV per formula unit

Cell and atoms, written as CIF:
```
data_NaTi3In
_cell_length_a 5.2321
_cell_length_b 5.2321
_cell_length_c 5.2321
_cell_angle_alpha 90.00
_cell_angle_beta 90.00
_cell_angle_gamma 90.00
_symmetry_space_group_name_H-M 'P m -3 m'
_symmetry_Int_Tables_number 221
_symmetry_space_group_name_Hall '-P 4 2 3'
loop_
_atom_site_label
_atom_site_type_symbol
_atom_site_fract_x
_atom_site_fract_y
_atom_site_fract_z
Na1 Na 0.0000 0.0000 0.0000
Ti1 Ti 0.0000 0.5000 0.5000
In1 In 0.5000 0.5000 0.5000
```


# 2
## Pu2UC (PBE)

Data for crystalline Pu2UC at its relaxed geometry.

Output
Energy above the most stable polymorph in this dataset   0 meV/atom
Energy of formation from the pure elements   1.6 eV per formula unit

Cell and atoms, written as CIF:
```
data_Pu2UC
_cell_length_a 3.3879
_cell_length_b 3.3879
_cell_length_c 5.7358
_cell_angle_alpha 90.00
_cell_angle_beta 90.00
_cell_angle_gamma 90.00
_symmetry_space_group_name_H-M 'P 4/m m m'
_symmetry_Int_Tables_number 123
_symmetry_space_group_name_Hall '-P 4 2'
loop_
_atom_site_label
_atom_site_type_symbol
_atom_site_fract_x
_atom_site_fract_y
_atom_site_fract_z
Pu1 Pu 0.0000 0.0000 0.2187
U1 U 0.5000 0.5000 0.5000
C1 C 0.5000 0.5000 0.0000
```


# 3
## CdHg2Ru (PBE)

Data for crystalline CdHg2Ru at its relaxed geometry.

Output
Energy of formation from the pure elements   1.6 eV per formula unit

Cell and atoms, written as CIF:
```
data_CdHg2Ru
_cell_length_a 3.0426
_cell_length_b 3.0426
_cell_length_c 30.4297
_cell_angle_alpha 90.00
_cell_angle_beta 90.00
_cell_angle_gamma 120.00
_symmetry_space_group_name_H-M 'R 3 m'
_symmetry_Int_Tables_number 160
_symmetry_space_group_name_Hall 'R 3 -2"'
loop_
_atom_site_label
_atom_site_type_symbol
_atom_site_fract_x
_atom_site_fract_y
_atom_site_fract_z
Cd1 Cd 0.0000 0.0000 0.0000
Hg1 Hg 0.0000 0.0000 0.5187
Hg2 Hg 0.0000 0.0000 0.7573
Ru1 Ru 0.0000 0.0000 0.2604
```


# 4
## IrC (PBE)

Data for crystalline IrC at its relaxed geometry.

Output
Energy above the most stable polymorph in this dataset   441 meV/atom
Energy of formation from the pure elements   1.8 eV per formula unit

Cell and atoms, written as CIF:
```
data_IrC
_cell_length_a 6.7875
_cell_length_b 2.8252
_cell_length_c 7.3213
_cell_angle_alpha 90.00
_cell_angle_beta 105.54
_cell_angle_gamma 90.00
_symmetry_space_group_name_H-M 'C 1 m 1'
_symmetry_Int_Tables_number 8
loop_
_symmetry_equiv_pos_as_xyz
'x,y,z'
'x,-y,z'
'x+1/2,y+1/2,z'
'x+1/2,-y+1/2,z'
loop_
_atom_site_label
_atom_site_type_symbol
_atom_site_fract_x
_atom_site_fract_y
_atom_site_fract_z
Ir1 Ir 0.0000 0.0000 0.0000
Ir2 Ir 0.0584 0.0000 0.6410
Ir3 Ir 0.3557 0.0000 0.2963
C1 C 0.1217 0.5000 0.2187
C2 C 0.1806 0.5000 0.8569
C3 C 0.3258 0.0000 0.5607
```


# 5
## Sc3PbO (PBE)

Data for crystalline Sc3PbO at its relaxed geometry.

Cell and atoms, written as CIF:
```
data_Sc3PbO
_cell_length_a 16.0812
_cell_length_b 4.1634
_cell_length_c 6.2782
_cell_angle_alpha 90.00
_cell_angle_beta 91.14
_cell_angle_gamma 90.00
_symmetry_space_group_name_H-M 'C 1 2/m 1'
_symmetry_Int_Tables_number 12
loop_
_symmetry_equiv_pos_as_xyz
'x,y,z'
'-x,-y,-z'
'-x,y,-z'
'x,-y,z'
'x+1/2,y+1/2,z'
'-x+1/2,-y+1/2,-z'
'-x+1/2,y+1/2,-z'
'x+1/2,-y+1/2,z'
loop_
_atom_site_label
_atom_site_type_symbol
_atom_site_fract_x
_atom_site_fract_y
_atom_site_fract_z
Sc1 Sc 0.0053 0.0000 0.2574
Sc2 Sc 0.1197 0.5000 0.4875
Sc3 Sc 0.2045 0.0000 0.7746
Pb1 Pb 0.1123 0.5000 0.0090
O1 O 0.0972 0.0000 0.5320
```


# 6
## TmAg2BiSe4 (PBE)

Data for crystalline TmAg2BiSe4 at its relaxed geometry.

Cell and atoms, written as CIF:
```
data_TmAg2BiSe4
_cell_length_a 6.9927
_cell_length_b 4.1546
_cell_length_c 7.2427
_cell_angle_alpha 90.00
_cell_angle_beta 110.28
_cell_angle_gamma 90.00
_symmetry_space_group_name_H-M 'P 1 2/m 1'
_symmetry_Int_Tables_number 10
loop_
_symmetry_equiv_pos_as_xyz
'x,y,z'
'-x,-y,-z'
'-x,y,-z'
'x,-y,z'
loop_
_atom_site_label
_atom_site_type_symbol
_atom_site_fract_x
_atom_site_fract_y
_atom_site_fract_z
Tm1 Tm 0.0000 0.0000 0.0000
Ag1 Ag 0.5000 0.0000 0.5000
Ag2 Ag 0.5000 0.5000 0.0000
Bi1 Bi 0.0000 0.5000 0.5000
Se1 Se 0.2459 0.5000 0.2414
Se2 Se 0.2555 0.0000 0.7615
```


# 7
## HoThNbN3 (PBE)

Data for crystalline HoThNbN3 at its relaxed geometry.

Cell and atoms, written as CIF:
```
data_HoThNbN3
_cell_length_a 5.8774
_cell_length_b 3.4150
_cell_length_c 8.7394
_cell_angle_alpha 90.00
_cell_angle_beta 102.43
_cell_angle_gamma 90.00
_symmetry_space_group_name_H-M 'P 1 21/m 1'
_symmetry_Int_Tables_number 11
loop_
_symmetry_equiv_pos_as_xyz
'x,y,z'
'-x,-y,-z'
'-x,y+1/2,-z'
'x,-y+1/2,z'
loop_
_atom_site_label
_atom_site_type_symbol
_atom_site_fract_x
_atom_site_fract_y
_atom_site_fract_z
Ho1 Ho 0.1437 0.2500 0.1797
Th1 Th 0.2660 0.7500 0.5547
Nb1 Nb 0.3765 0.2500 0.8809
N1 N 0.0562 0.2500 0.6849
N2 N 0.2449 0.7500 0.9919
N3 N 0.4509 0.7500 0.3250
```


# 8
## CdAgRu2 (PBE)

Data for crystalline CdAgRu2 at its relaxed geometry.

Output
Energy of formation from the pure elements   1.9 eV per formula unit

Cell and atoms, written as CIF:
```
data_CdAgRu2
_cell_length_a 9.7641
_cell_length_b 2.8286
_cell_length_c 4.8205
_cell_angle_alpha 90.00
_cell_angle_beta 100.25
_cell_angle_gamma 90.00
_symmetry_space_group_name_H-M 'C 1 2/m 1'
_symmetry_Int_Tables_number 12
loop_
_symmetry_equiv_pos_as_xyz
'x,y,z'
'-x,-y,-z'
'-x,y,-z'
'x,-y,z'
'x+1/2,y+1/2,z'
'-x+1/2,-y+1/2,-z'
'-x+1/2,y+1/2,-z'
'x+1/2,-y+1/2,z'
loop_
_atom_site_label
_atom_site_type_symbol
_atom_site_fract_x
_atom_site_fract_y
_atom_site_fract_z
Cd1 Cd 0.0000 0.0000 0.0000
Ag1 Ag 0.0000 0.5000 0.5000
Ru1 Ru 0.2499 0.0000 0.7450
```


# 9
## MnCrS2Cl (PBE)

Data for crystalline MnCrS2Cl at its relaxed geometry.

Output
Energy above the most stable polymorph in this dataset   0 meV/atom

Cell and atoms, written as CIF:
```
data_MnCrS2Cl
_cell_length_a 4.6790
_cell_length_b 4.6790
_cell_length_c 4.6053
_cell_angle_alpha 90.00
_cell_angle_beta 90.00
_cell_angle_gamma 90.00
_symmetry_space_group_name_H-M 'P 4/m m m'
_symmetry_Int_Tables_number 123
_symmetry_space_group_name_Hall '-P 4 2'
loop_
_atom_site_label
_atom_site_type_symbol
_atom_site_fract_x
_atom_site_fract_y
_atom_site_fract_z
Mn1 Mn 0.0000 0.0000 0.0000
Cr1 Cr 0.5000 0.5000 0.5000
S1 S 0.0000 0.5000 0.5000
Cl1 Cl 0.5000 0.5000 0.0000
```


# 10
## Pm5PrTm5 (PBE)

Data for crystalline Pm5PrTm5 at its relaxed geometry.

Output
Energy of formation from the pure elements   3.2 eV per formula unit

Cell and atoms, written as CIF:
```
data_Pm5PrTm5
_cell_length_a 6.0740
_cell_length_b 6.0740
_cell_length_c 11.8577
_cell_angle_alpha 90.00
_cell_angle_beta 90.00
_cell_angle_gamma 120.00
_symmetry_space_group_name_H-M 'P -6 m 2'
_symmetry_Int_Tables_number 187
_symmetry_space_group_name_Hall 'P -6 2'
loop_
_atom_site_label
_atom_site_type_symbol
_atom_site_fract_x
_atom_site_fract_y
_atom_site_fract_z
Pm1 Pm 0.0000 0.0000 0.0000
Pm2 Pm 0.3333 0.6667 0.3192
Pm3 Pm 0.6667 0.3333 0.1550
Pr1 Pr 0.3333 0.6667 0.0000
Tm1 Tm 0.0000 0.0000 0.2666
Tm2 Tm 0.3324 0.1662 0.5000
```


# 11
## MnCoSN2 (PBE)

Data for crystalline MnCoSN2 at its relaxed geometry.

Output
Energy above the most stable polymorph in this dataset   108 meV/atom

Cell and atoms, written as CIF:
```
data_MnCoSN2
_cell_length_a 3.5701
_cell_length_b 3.5701
_cell_length_c 5.0749
_cell_angle_alpha 90.00
_cell_angle_beta 90.00
_cell_angle_gamma 90.00
_symmetry_space_group_name_H-M 'P 4/m m m'
_symmetry_Int_Tables_number 123
_symmetry_space_group_name_Hall '-P 4 2'
loop_
_atom_site_label
_atom_site_type_symbol
_atom_site_fract_x
_atom_site_fract_y
_atom_site_fract_z
Mn1 Mn 0.0000 0.0000 0.0000
Co1 Co 0.5000 0.5000 0.5000
S1 S 0.5000 0.5000 0.0000
N1 N 0.0000 0.5000 0.5000
```


# 12
## BeNi5 (PBE)

Data for crystalline BeNi5 at its relaxed geometry.

Output
Energy above the most stable polymorph in this dataset   51 meV/atom
Energy of formation from the pure elements   -0.6 eV per formula unit

Cell and atoms, written as CIF:
```
data_BeNi5
_cell_length_a 8.9853
_cell_length_b 2.4854
_cell_length_c 5.7907
_cell_angle_alpha 90.00
_cell_angle_beta 106.41
_cell_angle_gamma 90.00
_symmetry_space_group_name_H-M 'C 1 m 1'
_symmetry_Int_Tables_number 8
loop_
_symmetry_equiv_pos_as_xyz
'x,y,z'
'x,-y,z'
'x+1/2,y+1/2,z'
'x+1/2,-y+1/2,z'
loop_
_atom_site_label
_atom_site_type_symbol
_atom_site_fract_x
_atom_site_fract_y
_atom_site_fract_z
Be1 Be 0.0000 0.0000 0.0000
Ni1 Ni 0.0506 0.0000 0.5978
Ni2 Ni 0.1674 0.5000 0.3258
Ni3 Ni 0.2088 0.5000 0.9365
Ni4 Ni 0.3409 0.0000 0.6845
Ni5 Ni 0.3898 0.0000 0.2548
```


# 13
## Ba2CoCu (PBE)

Data for crystalline Ba2CoCu at its relaxed geometry.

Output
Energy above the most stable polymorph in this dataset   326 meV/atom
Energy of formation from the pure elements   2.2 eV per formula unit

Cell and atoms, written as CIF:
```
data_Ba2CoCu
_cell_length_a 4.5607
_cell_length_b 4.5607
_cell_length_c 11.3059
_cell_angle_alpha 90.00
_cell_angle_beta 90.00
_cell_angle_gamma 90.00
_symmetry_space_group_name_H-M 'I -4 m 2'
_symmetry_Int_Tables_number 119
_symmetry_space_group_name_Hall 'I -4 -2'
loop_
_atom_site_label
_atom_site_type_symbol
_atom_site_fract_x
_atom_site_fract_y
_atom_site_fract_z
Ba1 Ba 0.0000 0.0000 0.0000
Ba2 Ba 0.0000 0.5000 0.2500
Co1 Co 0.0000 0.5000 0.7500
Cu1 Cu 0.0000 0.0000 0.5000
```


# 14
## GaTe2Cl2 (PBE)

Data for crystalline GaTe2Cl2 at its relaxed geometry.

Output
Energy above the most stable polymorph in this dataset   0 meV/atom

Cell and atoms, written as CIF:
```
data_GaTe2Cl2
_cell_length_a 4.1600
_cell_length_b 4.1600
_cell_length_c 18.0344
_cell_angle_alpha 90.00
_cell_angle_beta 90.00
_cell_angle_gamma 90.00
_symmetry_space_group_name_H-M 'I 4/m m m'
_symmetry_Int_Tables_number 139
_symmetry_space_group_name_Hall '-I 4 2'
loop_
_atom_site_label
_atom_site_type_symbol
_atom_site_fract_x
_atom_site_fract_y
_atom_site_fract_z
Ga1 Ga 0.0000 0.0000 0.0000
Te1 Te 0.0000 0.5000 0.2500
Cl1 Cl 0.0000 0.0000 0.4122
```


# 15
## HfVOs2Pd (PBE)

Data for crystalline HfVOs2Pd at its relaxed geometry.

Output
Energy of formation from the pure elements   9.6 eV per formula unit

Cell and atoms, written as CIF:
```
data_HfVOs2Pd
_cell_length_a 4.7659
_cell_length_b 4.7659
_cell_length_c 4.7016
_cell_angle_alpha 90.00
_cell_angle_beta 90.00
_cell_angle_gamma 90.00
_symmetry_space_group_name_H-M 'P 4/m m m'
_symmetry_Int_Tables_number 123
_symmetry_space_group_name_Hall '-P 4 2'
loop_
_atom_site_label
_atom_site_type_symbol
_atom_site_fract_x
_atom_site_fract_y
_atom_site_fract_z
Hf1 Hf 0.0000 0.0000 0.0000
V1 V 0.5000 0.5000 0.5000
Os1 Os 0.0000 0.5000 0.0000
Pd1 Pd 0.0000 0.0000 0.5000
```


# 16
## UHgBiPd (PBE)

Data for crystalline UHgBiPd at its relaxed geometry.

Output
Energy of formation from the pure elements   0.0 eV per formula unit

Cell and atoms, written as CIF:
```
data_UHgBiPd
_cell_length_a 7.2533
_cell_length_b 7.2533
_cell_length_c 7.2533
_cell_angle_alpha 90.00
_cell_angle_beta 90.00
_cell_angle_gamma 90.00
_symmetry_space_group_name_H-M 'F -4 3 m'
_symmetry_Int_Tables_number 216
_symmetry_space_group_name_Hall 'F -4 2 3'
loop_
_atom_site_label
_atom_site_type_symbol
_atom_site_fract_x
_atom_site_fract_y
_atom_site_fract_z
U1 U 0.0000 0.0000 0.0000
Hg1 Hg 0.2500 0.2500 0.2500
Bi1 Bi 0.0000 0.0000 0.5000
Pd1 Pd 0.2500 0.2500 0.7500
```


# 17
## Tb6PmNd3Y2 (PBE)

Data for crystalline Tb6PmNd3Y2 at its relaxed geometry.

Output
Energy of formation from the pure elements   0.2 eV per formula unit

Cell and atoms, written as CIF:
```
data_Tb6PmNd3Y2
_cell_length_a 6.2414
_cell_length_b 10.8072
_cell_length_c 11.9269
_cell_angle_alpha 90.00
_cell_angle_beta 100.01
_cell_angle_gamma 90.00
_symmetry_space_group_name_H-M 'C 1 2/m 1'
_symmetry_Int_Tables_number 12
loop_
_symmetry_equiv_pos_as_xyz
'x,y,z'
'-x,-y,-z'
'-x,y,-z'
'x,-y,z'
'x+1/2,y+1/2,z'
'-x+1/2,-y+1/2,-z'
'-x+1/2,y+1/2,-z'
'x+1/2,-y+1/2,z'
loop_
_atom_site_label
_atom_site_type_symbol
_atom_site_fract_x
_atom_site_fract_y
_atom_site_fract_z
Tb1 Tb 0.2498 0.0000 0.2480
Tb2 Tb 0.2504 0.1665 0.7519
Pm1 Pm 0.0000 0.5000 0.0000
Nd1 Nd 0.0000 0.0000 0.5000
Nd2 Nd 0.0000 0.3332 0.5000
Y1 Y 0.0000 0.1668 0.0000
```


# 18
## CeDy2Tl4 (PBE)

Data for crystalline CeDy2Tl4 at its relaxed geometry.

Output
Energy above the most stable polymorph in this dataset   0 meV/atom
Energy of formation from the pure elements   -1.2 eV per formula unit

Cell and atoms, written as CIF:
```
data_CeDy2Tl4
_cell_length_a 5.2644
_cell_length_b 5.2644
_cell_length_c 7.6908
_cell_angle_alpha 90.00
_cell_angle_beta 90.00
_cell_angle_gamma 90.00
_symmetry_space_group_name_H-M 'P 4/m m m'
_symmetry_Int_Tables_number 123
_symmetry_space_group_name_Hall '-P 4 2'
loop_
_atom_site_label
_atom_site_type_symbol
_atom_site_fract_x
_atom_site_fract_y
_atom_site_fract_z
Ce1 Ce 0.0000 0.0000 0.0000
Dy1 Dy 0.0000 0.0000 0.5000
Dy2 Dy 0.5000 0.5000 0.0000
Tl1 Tl 0.0000 0.5000 0.2722
```


# 19
## InAs2P (PBE)

Data for crystalline InAs2P at its relaxed geometry.

Output
Energy above the most stable polymorph in this dataset   139 meV/atom
Energy of formation from the pure elements   0.6 eV per formula unit

Cell and atoms, written as CIF:
```
data_InAs2P
_cell_length_a 3.8312
_cell_length_b 3.8312
_cell_length_c 19.5452
_cell_angle_alpha 90.00
_cell_angle_beta 90.00
_cell_angle_gamma 120.00
_symmetry_space_group_name_H-M 'R -3 m'
_symmetry_Int_Tables_number 166
_symmetry_space_group_name_Hall '-R 3 2"'
loop_
_atom_site_label
_atom_site_type_symbol
_atom_site_fract_x
_atom_site_fract_y
_atom_site_fract_z
In1 In 0.0000 0.0000 0.0000
As1 As 0.0000 0.0000 0.2389
P1 P 0.0000 0.0000 0.5000
```


# 20
## CrPdPtRh (PBE)

Data for crystalline CrPdPtRh at its relaxed geometry.

Output
Energy of formation from the pure elements   -0.6 eV per formula unit

Cell and atoms, written as CIF:
```
data_CrPdPtRh
_cell_length_a 2.7120
_cell_length_b 2.7120
_cell_length_c 7.7124
_cell_angle_alpha 90.00
_cell_angle_beta 90.00
_cell_angle_gamma 90.00
_symmetry_space_group_name_H-M 'P 4 m m'
_symmetry_Int_Tables_number 99
loop_
_symmetry_equiv_pos_as_xyz
'x,y,z'
'-y,x,z'
'-x,-y,z'
'y,-x,z'
'-x,y,z'
'y,x,z'
'x,-y,z'
'-y,-x,z'
loop_
_atom_site_label
_atom_site_type_symbol
_atom_site_fract_x
_atom_site_fract_y
_atom_site_fract_z
Cr1 Cr 0.0000 0.0000 0.0000
Pd1 Pd 0.0000 0.0000 0.4865
Pt1 Pt 0.5000 0.5000 0.7619
Rh1 Rh 0.5000 0.5000 0.2151
```


Number 1: E_tot -4.39 eV/atom. Number 2: E_tot -11.88 eV/atom. Number 3: E_tot -2.31 eV/atom. Number 4: E_tot -8.14 eV/atom. Number 5: E_tot -6.78 eV/atom. Number 6: E_tot -4.20 eV/atom. Number 7: E_tot -9.22 eV/atom. Number 8: E_tot -5.11 eV/atom. Number 9: E_tot -5.80 eV/atom. Number 10: E_tot -4.34 eV/atom. Number 11: E_tot -6.58 eV/atom. Number 12: E_tot -5.53 eV/atom. Number 13: E_tot -3.20 eV/atom. Number 14: E_tot -2.70 eV/atom. Number 15: E_tot -7.42 eV/atom. Number 16: E_tot -5.16 eV/atom. Number 17: E_tot -4.97 eV/atom. Number 18: E_tot -3.68 eV/atom. Number 19: E_tot -4.21 eV/atom. Number 20: E_tot -7.20 eV/atom.